[1]
! PRu2Cl | Alexandria | PBE | relaxed; values from VASP
! Total DFT energy (no corrections): -6.043 eV/atom
! Offset from the most stable computed form: 590 meV per atom
&SYSTEM
  ibrav = 0, nat = 4, ntyp = 3
/
ATOMIC_SPECIES
P 30.97 P.upf
Ru 101.07 Ru.upf
Cl 35.45 Cl.upf
CELL_PARAMETERS angstrom
1.4116 -2.5208 0.0000
1.4116 2.5208 0.0000
0.0000 0.0000 9.8441
ATOMIC_POSITIONS angstrom
P 0.0000 0.0000 0.0000
Ru 0.0000 0.0000 4.1612
Ru 1.4116 0.0000 1.8195
Cl 1.4116 0.0000 6.0786

=====

[2]
! PRuCl2 | Alexandria | PBE | relaxed; values from VASP
! Total DFT energy (no corrections): -4.432 eV/atom
! Offset from the most stable computed form: 648 meV per atom
&SYSTEM
  ibrav = 0, nat = 4, ntyp = 3
/
ATOMIC_SPECIES
P 30.97 P.upf
Ru 101.07 Ru.upf
Cl 35.45 Cl.upf
CELL_PARAMETERS angstrom
1.5642 -3.0445 0.0000
1.5642 3.0445 0.0000
0.0000 0.0000 9.0632
ATOMIC_POSITIONS angstrom
P 0.0000 0.0000 0.0000
Ru 1.5642 0.0000 7.4967
Cl 0.0000 0.0000 5.5916
Cl 1.5642 0.0000 1.9750

=====

[3]
! PRu2Cl | Alexandria | PBE | relaxed; values from VASP
! Total DFT energy (no corrections): -6.373 eV/atom
! Offset from the most stable computed form: 260 meV per atom
&SYSTEM
  ibrav = 0, nat = 4, ntyp = 3
/
ATOMIC_SPECIES
P 30.97 P.upf
Ru 101.07 Ru.upf
Cl 35.45 Cl.upf
CELL_PARAMETERS angstrom
1.8478 -2.3401 0.0000
1.8478 2.3401 0.0000
0.0000 0.0000 6.8969
ATOMIC_POSITIONS angstrom
P 0.0000 0.0000 0.0000
Ru 1.8478 0.0000 1.3586
Ru 1.8478 0.0000 5.5383
Cl 0.0000 0.0000 3.4485

=====

no.,ΔE_f (raw) (meV per atom)
1,409.2
2,162.7
3,79.3